No. 1
Material: CaAlZn3Au
Method: DFT, PBE
State: relaxed

Lattice parameters (Å, degrees): 6.398 13.127 5.666 90.00 90.00 90.00
Space group Cmcm (No. 63)
Asymmetric unit:
Ca: 0.000 0.209 0.250
Al: 0.000 0.434 0.250
Zn: 0.000 0.362 0.750
Zn: 0.193 0.000 0.000
Au: 0.000 0.161 0.750

## Properties
ΔH_f (0 K) = -0.1671 eV per atom
Magnetization = 0.000 μB/atom
Crystal system = orthorhombic

***

No. 2
Material: CaAlZnAu2
Method: DFT, PBE
State: relaxed

Lattice parameters (Å, degrees): 4.129 4.129 12.107 90.00 90.00 90.00
Space group I-4m2 (No. 119)
Asymmetric unit:
Ca: 0.000 0.000 0.000
Al: 0.000 0.500 0.250
Zn: 0.000 0.500 0.750
Au: 0.000 0.000 0.385

## Properties
ΔH_f (0 K) = -0.5674 eV per atom
Magnetization = 0.000 μB/atom
Crystal system = tetragonal

***

No. 3
Material: CaAl2ZnAu
Method: DFT, PBE
State: relaxed

Lattice parameters (Å, degrees): 4.200 4.231 11.450 90.00 90.00 90.00
Space group Imm2 (No. 44)
Asymmetric unit:
Ca: 0.000 0.000 0.000
Al: 0.000 0.000 0.386
Al: 0.000 0.500 0.244
Zn: 0.000 0.500 0.752
Au: 0.000 0.000 0.606

## Properties
ΔH_f (0 K) = -0.4396 eV per atom
Magnetization = 0.000 μB/atom
Crystal system = orthorhombic

***

No. 4
Material: CaAl2ZnAu4
Method: DFT, PBE
State: relaxed

Lattice parameters (Å, degrees): 4.4767 4.4767 26.2773 90.00 90.00 120.00
Space group R-3m (No. 166, hexagonal axes)
Asymmetric unit:
Ca: 0.0000 0.0000 0.0000
Al: 0.0000 0.0000 0.2430
Zn: 0.0000 0.0000 0.5000
Au: 0.0000 0.0000 0.1326
Au: 0.0000 0.0000 0.3984

## Properties
ΔH_f (0 K) = -0.4487 eV per atom
Magnetization = 0.000 μB/atom
Crystal system = trigonal

***

No. 5
Material: CaAl2ZnAu5
Method: DFT, PBE
State: relaxed

Lattice parameters (Å, degrees): 4.790 5.810 13.729 90.00 90.00 90.00
Space group Immm (No. 71)
Asymmetric unit:
Ca: 0.000 0.000 0.000
Al: 0.000 0.500 0.184
Zn: 0.000 0.000 0.500
Au: 0.000 0.251 0.335
Au: 0.000 0.500 0.000

## Properties
ΔH_f (0 K) = -0.3151 eV per atom
Magnetization = 0.000 μB/atom
Crystal system = orthorhombic

***

No. 6
Material: CaAlZnAu3
Method: DFT, PBE
State: relaxed

Lattice parameters (Å, degrees): 6.816 12.129 6.239 90.00 90.00 90.00
Space group Cmcm (No. 63)
Asymmetric unit:
Ca: 0.000 0.203 0.250
Al: 0.000 0.123 0.750
Zn: 0.000 0.452 0.250
Au: 0.000 0.325 0.750
Au: 0.211 0.000 0.000

## Properties
ΔH_f (0 K) = -0.3885 eV per atom
Magnetization = 0.000 μB/atom
Crystal system = orthorhombic

***

No. 7
Material: Ca3Al2ZnAu9
Method: DFT, PBE
State: relaxed

Lattice parameters (Å, degrees): 6.6768 6.6768 9.5147 90.00 90.00 120.00
Space group P-3m1 (No. 164)
Asymmetric unit:
Ca: 0.0000 0.0000 0.0000
Ca: 0.3333 0.6667 0.7319
Al: 0.3333 0.6667 0.1797
Zn: 0.0000 0.0000 0.5000
Au: 0.0000 0.5000 0.0000
Au: 0.1412 0.2824 0.2855

## Properties
ΔH_f (0 K) = -0.4199 eV per atom
Magnetization = 0.000 μB/atom
Crystal system = trigonal

***

No. 8
Material: CaAlZn2Au5
Method: DFT, PBE
State: relaxed

Lattice parameters (Å, degrees): 4.854 5.705 13.856 90.00 90.00 90.00
Space group Immm (No. 71)
Asymmetric unit:
Ca: 0.000 0.000 0.000
Al: 0.000 0.000 0.500
Zn: 0.000 0.500 0.186
Au: 0.000 0.256 0.346
Au: 0.000 0.500 0.000

## Properties
ΔH_f (0 K) = -0.2753 eV per atom
Magnetization = 0.000 μB/atom
Crystal system = orthorhombic